VASP calculation (meta-GGA SCAN) on a crystal of ScInPt2 relaxed with PBEsol.

abc: 3.3872 4.2453 5.3237
angles: 90.00 108.48 90.00
Element x y z (fractional)
Sc: 0.5191 0.0000 0.4145
Pt: 0.9614 0.5000 0.2985
Pt: 0.7925 0.0000 0.9593
In: 0.2269 0.5000 0.8277

Computed properties:
magnetization: 0.0 μB per formula unit
symmetry: Amm2 (38)
calculated total energy: -48.02 eV/atom
DFT formation energy: -1.014 eV per atom